A plane-wave DFT calculation with PBE-GGA was carried out for a relaxed ThCuAu2 crystal.

```
ThCuAu2
1.0
3.429 0.000 0.000
0.000 3.429 0.000
0.000 0.000 6.895
Th Cu Au
1 1 2
direct
0.000 0.000 0.000 Th
0.000 0.000 0.500 Cu
0.500 0.500 0.296 Au
0.500 0.500 0.704 Au
```

Properties
Spin magnetization = 0.00 μB per formula unit
Mass density = 14125 kg/m3
Energy above the lowest structure with this stoichiometry = 153.5 meV/atom
Energy of formation = -0.360 eV/atom
Density of states at the Fermi level = 2.186 states/eV/cell